[1]
# Sm2IrSe PBE relaxed
# electronic total energy = -53.203 eV/cell
# formation energy (no corrections) = -1.20 eV per atom
# energy relative to the lowest polymorph listed for this composition = 0.017 eV per atom
# magnetic moment = 0.0 Bohr magnetons per cell
# DOS at the Fermi energy = 2.24 states/eV/f.u.
data_Sm2IrSe
_cell_length_a 7.052
_cell_length_b 4.076
_cell_length_c 7.559
_cell_angle_alpha 90.00
_cell_angle_beta 108.19
_cell_angle_gamma 90.00
_symmetry_space_group_name_H-M 'C 1 2/m 1'
_symmetry_Int_Tables_number 12
loop_
_symmetry_equiv_pos_as_xyz
'x,y,z'
'-x,-y,-z'
'-x,y,-z'
'x,-y,z'
'x+1/2,y+1/2,z'
'-x+1/2,-y+1/2,-z'
'-x+1/2,y+1/2,-z'
'x+1/2,-y+1/2,z'
loop_
_atom_site_label
_atom_site_fract_x
_atom_site_fract_y
_atom_site_fract_z
Sm1 0.242 0.000 0.228
Ir1 0.000 0.500 0.000
Se1 0.000 0.000 0.500

[2]
# CsHgAu2 PBE relaxed
# electronic total energy = -25.712 eV/cell
# magnetic moment = 0.0 Bohr magnetons per cell
# ΔH_f (0 K) = -215 meV per atom
# DOS at the Fermi energy = 0.85 states/eV/f.u.
data_CsHgAu2
_cell_length_a 4.9388
_cell_length_b 4.9388
_cell_length_c 19.1492
_cell_angle_alpha 90.00
_cell_angle_beta 90.00
_cell_angle_gamma 120.00
_symmetry_space_group_name_H-M 'R -3 m'
_symmetry_Int_Tables_number 166
_symmetry_space_group_name_Hall '-R 3 2"'
loop_
_atom_site_label
_atom_site_fract_x
_atom_site_fract_y
_atom_site_fract_z
Cs1 0.0000 0.0000 0.0000
Hg1 0.0000 0.0000 0.5000
Au1 0.0000 0.0000 0.1823

[3]
# NdHo2Rh2 PBE relaxed
# electronic total energy = -126.608 eV/cell
# energy relative to the lowest polymorph listed for this composition = 0.000 eV per atom
# magnetic moment = 0.0 Bohr magnetons per cell
# ΔH_f (0 K) = -605 meV per atom
# DOS at the Fermi energy = 3.71 states/eV/f.u.
data_NdHo2Rh2
_cell_length_a 4.095
_cell_length_b 24.909
_cell_length_c 4.727
_cell_angle_alpha 90.00
_cell_angle_beta 90.00
_cell_angle_gamma 90.00
_symmetry_space_group_name_H-M 'C m c m'
_symmetry_Int_Tables_number 63
_symmetry_space_group_name_Hall '-C 2c 2'
loop_
_atom_site_label
_atom_site_fract_x
_atom_site_fract_y
_atom_site_fract_z
Nd1 0.000 0.136 0.250
Ho1 0.000 0.250 0.750
Ho2 0.000 0.447 0.250
Rh1 0.000 0.029 0.250
Rh2 0.000 0.324 0.250